NaCu3Te4Pt: relaxed, PBE.

Summary:
Theoretical density, Mg/m³: 6.165
Space group: P-43m, No. 215
Total energy, eV for the cell shown: -31.50

```
9
Lattice="6.279 0.000 0.000 0.000 6.279 0.000 0.000 0.000 6.279" Properties=species:S:1:pos:R:3 pbc="T T T"
Na 0.000 0.000 0.000
Cu 0.000 3.139 3.139
Cu 3.139 0.000 3.139
Cu 3.139 3.139 0.000
Te 1.647 1.647 1.647
Te 1.647 4.632 4.632
Te 4.632 1.647 4.632
Te 4.632 4.632 1.647
Pt 3.139 3.139 3.139
```


NaCuTePt: relaxed, PBE.

Summary:
Theoretical density, Mg/m³: 9.324
Offset from the most stable computed form, kJ per mole of atoms: 11.78
Space group: F-43m, No. 216
Total energy, eV for the cell shown: -13.96

```
4
Lattice="0.000 3.315 3.315 3.315 0.000 3.315 3.315 3.315 0.000" Properties=species:S:1:pos:R:3 pbc="T T T"
Na 0.000 0.000 0.000
Cu 3.315 3.315 3.315
Te 1.658 1.658 1.658
Pt 4.973 4.973 4.973
```


NaCuTePt: relaxed, PBE.

Summary:
Theoretical density, Mg/m³: 9.388
Offset from the most stable computed form, kJ per mole of atoms: 0.00
Space group: F-43m, No. 216
Total energy, eV for the cell shown: -14.45

```
4
Lattice="0.000 3.308 3.308 3.308 0.000 3.308 3.308 3.308 0.000" Properties=species:S:1:pos:R:3 pbc="T T T"
Na 0.000 0.000 0.000
Cu 1.654 1.654 1.654
Te 4.962 4.962 4.962
Pt 3.308 3.308 3.308
```


NaPuCuTe2Se: relaxed, PBE.

Summary:
Theoretical density, Mg/m³: 6.501
Space group: P2_1/m, No. 11
Total energy, eV for the cell shown: -67.94

```
12
Lattice="8.143 0.000 0.000 0.000 4.142 0.000 -3.081 0.000 10.067" Properties=species:S:1:pos:R:3 pbc="T T T"
Na 0.918 1.035 2.870
Na 4.144 3.106 7.197
Pu -0.113 3.106 8.424
Pu 5.175 1.035 1.643
Cu -1.168 1.035 5.871
Cu 6.230 3.106 4.196
Te 0.443 3.106 5.437
Te 2.924 3.106 1.422
Te 2.138 1.035 8.645
Te 4.619 1.035 4.630
Se -1.978 1.035 8.224
Se 7.040 3.106 1.843
```


RbNaCu: relaxed, PBE.

Summary:
Theoretical density, Mg/m³: 2.457
Offset from the most stable computed form, kJ per mole of atoms: 0.00
Space group: F-43m, No. 216
Total energy, eV for the cell shown: -4.79

```
3
Lattice="0.000 3.873 3.873 3.873 0.000 3.873 3.873 3.873 0.000" Properties=species:S:1:pos:R:3 pbc="T T T"
Rb 0.000 0.000 0.000
Na 3.873 3.873 3.873
Cu 5.810 5.810 5.810
```


RbNaCu: relaxed, PBE.

Summary:
Theoretical density, Mg/m³: 2.305
Offset from the most stable computed form, kJ per mole of atoms: 23.53
Space group: F-43m, No. 216
Total energy, eV for the cell shown: -4.06

```
3
Lattice="0.000 3.957 3.957 3.957 0.000 3.957 3.957 3.957 0.000" Properties=species:S:1:pos:R:3 pbc="T T T"
Rb 0.000 0.000 0.000
Na 1.979 1.979 1.979
Cu 5.936 5.936 5.936
```


NaCuRe: relaxed, PBE.

Summary:
Theoretical density, Mg/m³: 8.454
Offset from the most stable computed form, kJ per mole of atoms: 0.00
Space group: F-43m, No. 216
Total energy, eV for the cell shown: -12.57

```
3
Lattice="0.000 2.992 2.992 2.992 0.000 2.992 2.992 2.992 0.000" Properties=species:S:1:pos:R:3 pbc="T T T"
Na 0.000 0.000 0.000
Cu 1.496 1.496 1.496
Re 2.992 2.992 2.992
```


NaCuReSe2S: relaxed, PBE.

Summary:
Theoretical density, Mg/m³: 6.597
Space group: Cmcm, No. 63
Total energy, eV for the cell shown: -60.36

```
12
Lattice="1.835 -6.755 0.000 1.835 6.755 0.000 0.000 0.000 9.400" Properties=species:S:1:pos:R:3 pbc="T T T"
Na 1.835 3.452 7.050
Na 1.835 -3.452 2.350
Cu 1.835 6.328 2.350
Cu 1.835 -6.328 7.050
Re 1.835 0.000 0.000
Re 1.835 0.000 4.700
Se 1.835 4.976 0.387
Se 1.835 4.976 4.312
Se 1.835 -4.976 5.087
Se 1.835 -4.976 9.012
S 1.835 0.952 2.350
S 1.835 -0.952 7.050
```